# DyEr2TcN4 (GGA-PBE, relaxed)
data_DyEr2TcN4
_chemical_formula_sum 'Dy2 Er4 Tc2 N8'
_cell_length_a 3.3877
_cell_length_b 5.9964
_cell_length_c 11.4930
_cell_angle_alpha 90.00
_cell_angle_beta 90.00
_cell_angle_gamma 106.41
_space_group_name_H-M_alt 'P 1'
_space_group_IT_number 1
loop_
_space_group_symop_operation_xyz
'x,y,z'
loop_
_atom_site_label
_atom_site_type_symbol
_atom_site_fract_x
_atom_site_fract_y
_atom_site_fract_z
Dy1 Dy 0.1327 0.2653 0.7500
Dy2 Dy 0.8673 0.7347 0.2500
Er1 Er 0.3684 0.7369 0.5394
Er2 Er 0.6316 0.2631 0.0394
Er3 Er 0.6316 0.2631 0.4606
Er4 Er 0.3684 0.7369 0.9606
Tc1 Tc 0.8677 0.7354 0.7500
Tc2 Tc 0.1323 0.2646 0.2500
N1 N 0.2636 0.5272 0.1292
N2 N 0.7364 0.4728 0.6292
N3 N 0.7364 0.4728 0.8708
N4 N 0.2636 0.5272 0.3708
N5 N 0.0000 0.0000 0.5000
N6 N 0.0000 0.0000 0.0000
N7 N 0.4528 0.9056 0.7500
N8 N 0.5472 0.0944 0.2500
# **Uncorrected formation energy**: -1.126 eV/atom
# **Density**: 9.7 g/cm3